Run w
Material: AcYLu2
Method: DFT, PBE
State: relaxed

```
AcYLu2
1.0
4.122 0.000 0.000
0.000 4.122 0.000
0.000 0.000 8.009
Ac Y Lu
1 1 2
Direct
0.000 0.000 0.000
0.000 0.000 0.500
0.500 0.500 0.273
0.500 0.500 0.727
```

---

Run x
Material: AcYLu2
Method: DFT, PBE
State: relaxed

```
AcYLu2
1.0
0.000 4.077 4.077
4.077 0.000 4.077
4.077 4.077 0.000
Ac Y Lu
1 1 2
Direct
0.000 0.000 0.000
0.500 0.500 0.500
0.250 0.250 0.250
0.750 0.750 0.750
```

---

run w is preferred energetically. Next in line: 0.013 eV/atom higher.